## TlHg2MoO4 (PBE with a Hubbard U)

Data for a relaxed TlHg2MoO4 crystal. Values from VASP.

Values from the calculation:
**Symmetry**: Fmm2, No. 42
**DOS at the Fermi energy**: 0.05 states/eV/atom
**Calculated total energy**: -4.6518 eV/atom

Quantum ESPRESSO input file:
```
&SYSTEM
  ibrav = 0, nat = 8, ntyp = 4
/
ATOMIC_SPECIES
Tl 204.38 Tl.upf
Hg 200.59 Hg.upf
Mo 95.94 Mo.upf
O 16.00 O.upf
ATOMIC_POSITIONS crystal
Tl 0.000 0.000 0.000
Hg 0.292 0.292 0.208
Hg 0.792 0.792 0.708
Mo 0.600 0.600 0.400
O 0.354 0.703 0.297
O 0.426 0.921 0.574
O 0.703 0.354 0.646
O 0.921 0.426 0.079
CELL_PARAMETERS angstrom
0.000 4.110 7.287
2.994 0.000 7.287
2.994 4.110 0.000
```